[1]
Compound: AlZnHg2
Source: the Alexandria database
Functional: GGA-PBE
Structure: optimized geometry

Calculated values
The value obtained for the magnetic moment is 0.000 μB per formula unit. The calculation puts the uncorrected energy at -5.049 eV per formula unit. The calculation puts the calculated density at 9.710 g cm⁻³. The value obtained for the formation energy is 0.57 eV per formula unit.

abc: 4.581 4.581 5.993
angles: 101.20 101.20 43.33
Fractional positions:
Al: 0.000 0.000 0.000
Zn: 0.260 0.260 0.803
Hg: 0.511 0.511 0.559
Hg: 0.749 0.749 0.249

=====

[2]
Compound: AlZnHg2
Source: the Alexandria database
Functional: GGA-PBE
Structure: optimized geometry

Calculated values
The value obtained for the magnetic moment is 0.000 μB per formula unit. The calculation puts the uncorrected energy at -4.873 eV per formula unit. The calculation puts the calculated density at 9.747 g cm⁻³. The value obtained for the formation energy is 0.75 eV per formula unit.

abc: 3.439 3.882 6.380
angles: 90.00 99.19 90.00
Fractional positions:
Al: 0.000 0.000 0.000
Zn: 0.000 0.000 0.500
Hg: 0.489 0.500 0.748
Hg: 0.511 0.500 0.252

=====

[3]
Compound: AlZnHg
Source: the Alexandria database
Functional: GGA-PBE
Structure: optimized geometry

Calculated values
The value obtained for the magnetic moment is 0.000 μB per formula unit. The calculation puts the uncorrected energy at -4.828 eV per formula unit. The calculation puts the calculated density at 8.650 g cm⁻³. The value obtained for the formation energy is 0.49 eV per formula unit.

abc: 5.054 5.054 5.054
angles: 144.43 130.79 62.18
Fractional positions:
Al: 0.000 0.000 0.000
Zn: 0.342 0.342 0.000
Hg: 0.672 0.672 0.000

=====

[4]
Compound: AlZnHg
Source: the Alexandria database
Functional: GGA-PBE
Structure: optimized geometry

Calculated values
The value obtained for the magnetic moment is 0.000 μB per formula unit. The calculation puts the uncorrected energy at -4.712 eV per formula unit. The calculation puts the calculated density at 7.992 g cm⁻³. The value obtained for the formation energy is 0.61 eV per formula unit.

abc: 4.277 4.277 3.843
angles: 90.00 90.00 120.00
Fractional positions:
Al: 0.000 0.000 0.000
Zn: 0.667 0.333 0.723
Hg: 0.333 0.667 0.369

=====

[5]
Compound: AlZnHg
Source: the Alexandria database
Functional: GGA-PBE
Structure: optimized geometry

Calculated values
The value obtained for the magnetic moment is 0.000 μB per formula unit. The calculation puts the uncorrected energy at -4.860 eV per formula unit. The calculation puts the calculated density at 8.565 g cm⁻³. The value obtained for the formation energy is 0.46 eV per formula unit.

abc: 6.537 6.537 6.537
angles: 153.17 153.17 38.31
Fractional positions:
Al: 0.000 0.000 0.000
Zn: 0.359 0.359 0.000
Hg: 0.681 0.681 0.000

=====

[6]
Compound: AlZnHg2
Source: the Alexandria database
Functional: GGA-PBE
Structure: optimized geometry

Calculated values
The value obtained for the magnetic moment is 0.000 μB per formula unit. The calculation puts the uncorrected energy at -4.936 eV per formula unit. The calculation puts the calculated density at 9.624 g cm⁻³. The value obtained for the formation energy is 0.68 eV per formula unit.

abc: 3.065 3.065 9.659
angles: 90.00 90.00 110.24
Fractional positions:
Al: 0.000 0.000 0.000
Zn: 0.500 0.500 0.214
Hg: 0.000 0.000 0.457
Hg: 0.500 0.500 0.746

=====

[7]
Compound: AlZnHg2
Source: the Alexandria database
Functional: GGA-PBE
Structure: optimized geometry

Calculated values
The value obtained for the magnetic moment is 0.000 μB per formula unit. The calculation puts the uncorrected energy at -4.913 eV per formula unit. The calculation puts the calculated density at 10.014 g cm⁻³. The value obtained for the formation energy is 0.71 eV per formula unit.

abc: 3.159 3.159 8.202
angles: 90.00 90.00 90.00
Fractional positions:
Al: 0.000 0.000 0.000
Zn: 0.000 0.000 0.500
Hg: 0.500 0.500 0.254
Hg: 0.500 0.500 0.746

=====

[8]
Compound: AlZnHg2
Source: the Alexandria database
Functional: GGA-PBE
Structure: optimized geometry

Calculated values
The value obtained for the magnetic moment is 0.000 μB per formula unit. The calculation puts the uncorrected energy at -5.103 eV per formula unit. The calculation puts the calculated density at 9.923 g cm⁻³. The value obtained for the formation energy is 0.52 eV per formula unit.

abc: 8.879 8.879 8.879
angles: 21.53 21.53 21.53
Fractional positions:
Al: 0.000 0.000 0.000
Zn: 0.259 0.259 0.259
Hg: 0.511 0.511 0.511
Hg: 0.749 0.749 0.749

=====

[9]
Compound: AlZnHg3
Source: the Alexandria database
Functional: GGA-PBE
Structure: optimized geometry

Calculated values
The value obtained for the magnetic moment is 0.000 μB per formula unit. The calculation puts the uncorrected energy at -4.736 eV per formula unit. The calculation puts the calculated density at 7.622 g cm⁻³. The value obtained for the formation energy is 1.19 eV per formula unit.

abc: 5.328 5.328 5.328
angles: 90.00 90.00 90.00
Fractional positions:
Al: 0.000 0.000 0.000
Zn: 0.500 0.500 0.500
Hg: 0.000 0.000 0.500
Hg: 0.000 0.500 0.000
Hg: 0.500 0.000 0.000

=====

[10]
Compound: AlZnHg2
Source: the Alexandria database
Functional: GGA-PBE
Structure: optimized geometry

Calculated values
The value obtained for the magnetic moment is 0.000 μB per formula unit. The calculation puts the uncorrected energy at -4.871 eV per formula unit. The calculation puts the calculated density at 10.022 g cm⁻³. The value obtained for the formation energy is 0.75 eV per formula unit.

abc: 5.250 5.250 5.250
angles: 130.49 130.49 72.62
Fractional positions:
Al: 0.000 0.000 0.000
Zn: 0.500 0.500 0.000
Hg: 0.250 0.750 0.500
Hg: 0.750 0.250 0.500

=====

[11]
Compound: AlZn3Hg
Source: the Alexandria database
Functional: GGA-PBE
Structure: optimized geometry

Calculated values
The value obtained for the magnetic moment is 0.000 μB per formula unit. The calculation puts the uncorrected energy at -6.172 eV per formula unit. The calculation puts the calculated density at 5.739 g cm⁻³. The value obtained for the formation energy is 1.69 eV per formula unit.

abc: 4.968 4.968 4.968
angles: 90.00 90.00 90.00
Fractional positions:
Al: 0.000 0.000 0.000
Zn: 0.000 0.000 0.500
Zn: 0.000 0.500 0.000
Zn: 0.500 0.000 0.000
Hg: 0.500 0.500 0.500

=====

[12]
Compound: AlZnHg2
Source: the Alexandria database
Functional: GGA-PBE
Structure: optimized geometry

Calculated values
The value obtained for the magnetic moment is 0.000 μB per formula unit. The calculation puts the uncorrected energy at -4.905 eV per formula unit. The calculation puts the calculated density at 9.481 g cm⁻³. The value obtained for the formation energy is 0.72 eV per formula unit.

abc: 5.593 5.593 3.205
angles: 105.48 105.48 105.90
Fractional positions:
Al: 0.000 0.000 0.000
Zn: 0.500 0.500 0.000
Hg: 0.000 0.500 0.000
Hg: 0.500 0.000 0.000

=====

[13]
Compound: AlZnHg2
Source: the Alexandria database
Functional: GGA-PBE
Structure: optimized geometry

Calculated values
The value obtained for the magnetic moment is 0.000 μB per formula unit. The calculation puts the uncorrected energy at -5.019 eV per formula unit. The calculation puts the calculated density at 9.762 g cm⁻³. The value obtained for the formation energy is 0.60 eV per formula unit.

abc: 3.661 4.265 5.377
angles: 90.00 90.00 90.00
Fractional positions:
Al: 0.000 0.000 0.000
Zn: 0.500 0.500 0.690
Hg: 0.000 0.000 0.508
Hg: 0.500 0.500 0.181

=====

[14]
Compound: AlZn4Hg
Source: the Alexandria database
Functional: GGA-PBE
Structure: optimized geometry

Calculated values
The value obtained for the magnetic moment is 0.000 μB per formula unit. The calculation puts the uncorrected energy at -8.388 eV per formula unit. The calculation puts the calculated density at 7.828 g cm⁻³. The value obtained for the formation energy is 0.75 eV per formula unit.

abc: 5.275 5.275 5.275
angles: 60.00 60.00 60.00
Fractional positions:
Al: 0.000 0.000 0.000
Zn: 0.375 0.375 0.375
Zn: 0.375 0.375 0.876
Zn: 0.375 0.876 0.375
Zn: 0.876 0.375 0.375
Hg: 0.750 0.750 0.750

=====

[15]
Compound: AlZn3Hg
Source: the Alexandria database
Functional: GGA-PBE
Structure: optimized geometry

Calculated values
The value obtained for the magnetic moment is 0.000 μB per formula unit. The calculation puts the uncorrected energy at -4.943 eV per formula unit. The calculation puts the calculated density at 5.595 g cm⁻³. The value obtained for the formation energy is 2.92 eV per formula unit.

abc: 5.010 5.010 5.010
angles: 90.00 90.00 90.00
Fractional positions:
Al: 0.000 0.000 0.000
Zn: 0.000 0.500 0.500
Zn: 0.500 0.000 0.500
Zn: 0.500 0.500 0.000
Hg: 0.500 0.500 0.500

=====

[16]
Compound: AlZnHg2
Source: the Alexandria database
Functional: GGA-PBE
Structure: optimized geometry

Calculated values
The value obtained for the magnetic moment is 0.000 μB per formula unit. The calculation puts the uncorrected energy at -4.874 eV per formula unit. The calculation puts the calculated density at 9.506 g cm⁻³. The value obtained for the formation energy is 0.75 eV per formula unit.

abc: 3.306 3.306 8.669
angles: 90.00 90.00 114.53
Fractional positions:
Al: 0.000 0.000 0.000
Zn: 0.000 0.000 0.500
Hg: 0.500 0.500 0.253
Hg: 0.500 0.500 0.747

=====

[17]
Compound: AlZnHg2
Source: the Alexandria database
Functional: GGA-PBE
Structure: optimized geometry

Calculated values
The value obtained for the magnetic moment is 0.000 μB per formula unit. The calculation puts the uncorrected energy at -4.876 eV per formula unit. The calculation puts the calculated density at 9.856 g cm⁻³. The value obtained for the formation energy is 0.74 eV per formula unit.

abc: 5.610 5.610 5.610
angles: 136.31 136.31 63.50
Fractional positions:
Al: 0.000 0.000 0.000
Zn: 0.750 0.250 0.500
Hg: 0.250 0.750 0.500
Hg: 0.500 0.500 0.000

=====

[18]
Compound: AlZnHg
Source: the Alexandria database
Functional: GGA-PBE
Structure: optimized geometry

Calculated values
The value obtained for the magnetic moment is 0.000 μB per formula unit. The calculation puts the uncorrected energy at -4.872 eV per formula unit. The calculation puts the calculated density at 8.292 g cm⁻³. The value obtained for the formation energy is 0.45 eV per formula unit.

abc: 3.087 3.087 7.111
angles: 90.00 90.00 120.00
Fractional positions:
Al: 0.000 0.000 0.000
Zn: 0.667 0.333 0.290
Hg: 0.000 0.000 0.619

=====

[19]
Compound: AlZnHg2
Source: the Alexandria database
Functional: GGA-PBE
Structure: optimized geometry

Calculated values
The value obtained for the magnetic moment is 0.000 μB per formula unit. The calculation puts the uncorrected energy at -4.833 eV per formula unit. The calculation puts the calculated density at 9.473 g cm⁻³. The value obtained for the formation energy is 0.79 eV per formula unit.

abc: 3.505 4.343 5.685
angles: 90.00 90.00 90.00
Fractional positions:
Al: 0.000 0.000 0.000
Zn: 0.500 0.000 0.500
Hg: 0.000 0.500 0.500
Hg: 0.500 0.500 0.000

=====

[20]
Compound: Zr2AlHg
Source: the Alexandria database
Functional: GGA-PBE
Structure: optimized geometry

Calculated values
The value obtained for the magnetic moment is 0.000 μB per formula unit. The calculation puts the uncorrected energy at -21.609 eV per formula unit. The calculation puts the calculated density at 8.042 g cm⁻³. The value obtained for the formation energy is -0.47 eV per formula unit.

abc: 5.376 5.376 5.324
angles: 100.83 100.83 34.14
Fractional positions:
Zr: 0.249 0.249 0.240
Zr: 0.751 0.751 0.760
Al: 0.500 0.500 0.000
Hg: 0.000 0.000 0.500